Material: Cs2YPuO4
Method: DFT, GGA-PBE
State: relaxed

E_form (uncorrected)   -2.432 eV per atom

Lattice parameters (Å, degrees): 6.2439 3.6023 7.2163 90.00 106.65 90.00
Space group P2/m (No. 10)
Unique sites:
1 Cs 0.0000 0.0000 0.0000 [1 per cell]
2 Cs 0.5000 0.5000 0.0000 [1 per cell]
3 Y 0.0000 0.5000 0.5000 [1 per cell]
4 Pu 0.5000 0.0000 0.5000 [1 per cell]
5 O 0.2180 0.0000 0.6629 [2 per cell]
6 O 0.2791 0.5000 0.3392 [2 per cell]

---

Material: Cs2YPu3O12
Method: DFT, GGA-PBE
State: relaxed

E_form (uncorrected)   -2.575 eV per atom

Lattice parameters (Å, degrees): 7.9792 7.9792 18.8212 90.00 90.00 120.00
Space group R-3m (No. 166, hexagonal axes)
Unique sites:
1 Cs 0.0000 0.0000 0.1222 [6 per cell]
2 Y 0.0000 0.0000 0.5000 [3 per cell]
3 Pu 0.0000 0.5000 0.0000 [9 per cell]
4 O 0.0589 0.5294 0.1007 [18 per cell]
5 O 0.0812 0.5406 0.3508 [18 per cell]

---

Material: Cs2Y2PuO6
Method: DFT, GGA-PBE
State: relaxed

E_form (uncorrected)   -2.768 eV per atom

Lattice parameters (Å, degrees): 6.0882 10.5279 7.3314 90.00 106.37 90.00
Space group C2/m (No. 12)
Unique sites:
1 Cs 0.0000 0.1677 0.0000 [4 per cell]
2 Y 0.0000 0.3340 0.5000 [4 per cell]
3 Pu 0.0000 0.0000 0.5000 [2 per cell]
4 O 0.2132 0.1650 0.6556 [8 per cell]
5 O 0.2324 0.5000 0.6546 [4 per cell]

---

Material: Cs2YPuO6
Method: DFT, GGA-PBE
State: relaxed

E_form (uncorrected)   -2.456 eV per atom

Lattice parameters (Å, degrees): 8.8047 8.8047 8.8047 90.00 90.00 90.00
Space group Fm-3m (No. 225)
Unique sites:
1 Cs 0.2500 0.2500 0.2500 [8 per cell]
2 Y 0.0000 0.0000 0.0000 [4 per cell]
3 Pu 0.0000 0.0000 0.5000 [4 per cell]
4 O 0.0000 0.0000 0.2673 [24 per cell]

---

Material: Cs2PuZn2O6
Method: DFT, GGA-PBE
State: relaxed

E_form (uncorrected)   -1.851 eV per atom

Lattice parameters (Å, degrees): 6.1630 6.1630 19.1474 90.00 90.00 120.00
Space group R-3m (No. 166, hexagonal axes)
Unique sites:
1 Cs 0.0000 0.0000 0.2106 [6 per cell]
2 Pu 0.0000 0.0000 0.0000 [3 per cell]
3 Zn 0.0000 0.0000 0.3939 [6 per cell]
4 O 0.0199 0.5099 0.7320 [18 per cell]

---

Material: Cs3PuZn2O6
Method: DFT, GGA-PBE
State: relaxed

E_form (uncorrected)   -1.782 eV per atom

Lattice parameters (Å, degrees): 6.2619 6.2619 7.7201 90.00 90.00 120.00
Space group P-3m1 (No. 164)
Unique sites:
1 Cs 0.0000 0.0000 0.0000 [1 per cell]
2 Cs 0.3333 0.6667 0.7523 [2 per cell]
3 Pu 0.0000 0.0000 0.5000 [1 per cell]
4 Zn 0.3333 0.6667 0.3325 [2 per cell]
5 O 0.1588 0.3176 0.3292 [6 per cell]